# TaTcGe2Se | Alexandria | PBE | optimized geometry
# ΔE_f (raw) in eV/atom: 1.38
# Fermi-level density of states in states/eV per atom: 0.91
# Volume in Å³ per cell: 106
data_TaTcGe2Se
_chemical_formula_sum 'Ta1 Tc1 Ge2 Se1'
_cell_length_a 4.8868
_cell_length_b 4.8868
_cell_length_c 4.4517
_cell_angle_alpha 90.00
_cell_angle_beta 90.00
_cell_angle_gamma 90.00
_symmetry_space_group_name_H-M 'P 4/m m m'
_symmetry_Int_Tables_number 123
_symmetry_space_group_name_Hall '-P 4 2'
loop_
_atom_site_label
_atom_site_type_symbol
_atom_site_fract_x
_atom_site_fract_y
_atom_site_fract_z
Ta1 Ta 0.0000 0.0000 0.0000
Tc1 Tc 0.5000 0.5000 0.0000
Ge1 Ge 0.0000 0.5000 0.5000
Se1 Se 0.5000 0.5000 0.5000